DFT (PBE-GGA) results for BaLiAu2 after structural relaxation.

## Properties
formation enthalpy at 0 K	-0.652	eV per atom
energy above the lowest structure with this stoichiometry	2	meV/atom
volume	26.310	Å³/atom
magnetic moment	0.000	Bohr magnetons per cell
raw total energy	-3.2501	eV/atom

Cell lengths 4.6401, 4.6401, 11.2879 Å; angles 90.00, 90.00, 120.00 degrees
Space group P6_3/mmc (No. 194)
One atom of each set of equivalent atoms:
Ba: 0.3333 0.6667 0.2500
Li: 0.0000 0.0000 0.0000
Au: 0.3333 0.6667 0.5571

***

DFT (PBE-GGA) results for Ba3Li9Au2 after structural relaxation.

## Properties
formation enthalpy at 0 K	-0.188	eV per atom
volume	27.151	Å³/atom
magnetic moment	0.000	Bohr magnetons per cell
raw total energy	-2.2984	eV/atom

Cell lengths 4.809, 11.244, 14.061 Å; angles 90.00, 90.00, 90.00 degrees
Space group Immm (No. 71)
One atom of each set of equivalent atoms:
Ba: 0.000 0.000 0.000
Ba: 0.000 0.000 0.325
Li: 0.000 0.279 0.100
Li: 0.000 0.328 0.322
Li: 0.000 0.500 0.000
Au: 0.000 0.223 0.500

***

DFT (PBE-GGA) results for BaLi3Au after structural relaxation.

## Properties
formation enthalpy at 0 K	-0.285	eV per atom
energy above the lowest structure with this stoichiometry	8	meV/atom
volume	26.431	Å³/atom
magnetic moment	0.000	Bohr magnetons per cell
raw total energy	-2.4729	eV/atom

Cell lengths 6.468, 6.469, 7.087 Å; angles 90.00, 116.95, 90.00 degrees
Space group Cm (No. 8)
One atom of each set of equivalent atoms:
Ba: 0.000 0.000 0.000
Li: 0.026 0.250 0.552
Li: 0.121 0.500 0.242
Au: 0.402 0.000 0.804